Record 1
CrMoAs4 after structural relaxation, computed with GGA-PBEsol.

POSCAR file:
```
CrMoAs4
1.0
5.298 0.000 0.000
2.649 4.588 0.000
2.649 1.529 4.326
As Cr Mo
4 1 1
Cartesian
3.967 2.291 1.620 As
5.298 3.059 3.793 As
6.629 2.291 1.620 As
5.298 4.596 1.620 As
7.947 4.588 3.245 Cr
0.000 0.000 0.000 Mo
```

Record 2
CaHgPb2 after structural relaxation, computed with GGA-PBEsol.

POSCAR file:
```
CaHgPb2
1.0
3.869 0.000 0.042
0.000 5.329 0.000
-0.059 0.000 5.303
Pb Ca Hg
2 1 1
Cartesian
0.480 0.000 0.438 Pb
2.410 2.664 0.893 Pb
2.383 0.000 3.150 Ca
0.443 2.664 3.537 Hg
```

Record 3
Zn7Ag after structural relaxation, computed with GGA-PBEsol.

POSCAR file:
```
Zn7Ag
1.0
-0.420 -5.135 -1.790
3.521 -1.891 -3.712
3.743 -3.701 1.429
Zn Ag
7 1
Cartesian
-0.210 -2.568 -0.895 Zn
1.551 -3.513 -2.751 Zn
1.761 -0.945 -1.856 Zn
1.662 -4.418 -0.181 Zn
1.872 -1.850 0.714 Zn
3.632 -2.796 -1.141 Zn
3.422 -5.363 -2.036 Zn
0.000 0.000 0.000 Ag
```

Record 4
CoIr2Os after structural relaxation, computed with GGA-PBEsol.

POSCAR file:
```
CoIr2Os
1.0
2.667 0.000 0.000
0.000 4.579 0.003
0.000 -1.517 4.320
Os Ir Co
1 2 1
Cartesian
1.334 0.000 0.000 Os
0.000 2.289 0.002 Ir
0.000 -0.758 2.160 Ir
1.334 1.531 2.162 Co
```

Results
polymorph energy (0 for the lowest one)	56	meV per atom

The evaluated E_form for the records listed, in turn: 0.880 -0.319 0.005 0.076 eV per atom.
The evaluated calculated total energy for the records listed, in turn: -6.19 -2.99 -1.79 -9.82 eV/atom.